Computed, not measured: an optimized crystal structure of Zr2VF at the PBE+U level of DFT.

Values from the calculation:
**Calculated total energy**: -25.7 eV per cell
**DOS at the Fermi energy**: 4.1 states/eV/f.u.

Lattice parameters (Å, degrees): 4.750 4.750 4.750 60.00 60.00 60.00
Atoms (fractional coordinates):
Zr (0.250, 0.250, 0.250)
Zr (0.750, 0.750, 0.750)
V (0.000, 0.000, 0.000)
F (0.500, 0.500, 0.500)